Record 1
First-principles (PBE) data for Zn2Si7Ir12 after structural relaxation, as listed in Alexandria via LeMat-Bulk.

Results
- Total magnetization: 0.000 μB per cell
- Formation energy (no corrections): -0.441 eV per atom

POSCAR file:
```
Zn2Si7Ir12
1.0
-1.4769 3.3782 0.5895
-8.2374 -4.1766 3.2964
7.2727 2.0913 6.2370
Ir Zn Si
12 2 7
Direct
0.5000 0.2012 0.4245
0.0000 0.0639 0.5428
0.5000 0.7102 0.1167
0.5000 0.8833 0.5935
0.0000 0.7848 0.7444
0.5000 0.4065 0.2898
0.0000 0.9596 0.2152
0.0000 0.4790 0.9361
0.0000 0.4572 0.5210
0.0000 0.2556 0.0404
0.5000 0.2233 0.7988
0.5000 0.5755 0.7767
0.0000 0.6667 0.3333
0.5000 0.0000 0.0000
0.5000 0.9274 0.3700
0.5000 0.6300 0.5574
0.0000 0.0404 0.7774
0.0000 0.2226 0.2631
0.0000 0.7369 0.9596
0.5000 0.4426 0.0726
0.0000 0.3333 0.6667
```

***

Record 2
First-principles (PBE) data for ZnSi2Ir after structural relaxation, as listed in Alexandria via LeMat-Bulk.

Results
- Total magnetization: 0.000 μB per cell
- Formation energy (no corrections): 0.078 eV per atom

POSCAR file:
```
ZnSi2Ir
1.0
4.9496 -0.0216 -0.0113
1.8860 4.5763 0.0113
-2.8018 -3.2019 2.5293
Zn Ir Si
1 1 2
Direct
0.5078 0.5078 0.0000
0.2321 0.7321 0.5000
0.7612 0.2612 0.5000
0.9989 0.9989 0.0000
```

***

Record 3
First-principles (PBE) data for ZnSi2Ir after structural relaxation, as listed in Alexandria via LeMat-Bulk.

Results
- Total magnetization: 0.000 μB per cell
- Formation energy (no corrections): -0.075 eV per atom

POSCAR file:
```
ZnSi2Ir
1.0
-3.9171 2.2534 -0.8140
-2.8698 1.1721 -3.3874
-2.4841 -3.5558 0.4831
Ir Si Zn
1 2 1
Direct
0.7434 0.7434 0.7784
0.2498 0.2498 0.2585
0.0143 0.0143 0.9785
0.4925 0.4925 0.4846
```